No. 1
DFT (PBE) results for KTmTl after structural relaxation.

Its total energy is -2.747 eV per atom.

The space group is I4/mmm (No. 139) and the conventional cell measures 3.9780, 3.9780 and 28.8401 Å, with angles of 90.00, 90.00 and 90.00 degrees. Symmetry generates all atoms from K at (0.0000, 0.0000, 0.0763), Tm at (0.0000, 0.0000, 0.2130) and Tl at (0.0000, 0.0000, 0.3380).

---

No. 2
DFT (PBE) results for KTm2Tl3 after structural relaxation.

Its total energy is -3.077 eV per atom.

The space group is P4/mmm (No. 123) and the conventional cell measures 3.8200, 3.8200 and 12.3013 Å, with angles of 90.00, 90.00 and 90.00 degrees. Symmetry generates all atoms from K at (0.0000, 0.0000, 0.0000), Tm at (0.0000, 0.0000, 0.3475), Tl at (0.5000, 0.5000, 0.2070) and Tl at (0.5000, 0.5000, 0.5000).

---

No. 3
DFT (PBE) results for KTl2V after structural relaxation.

Its total energy is -3.196 eV per atom.

The space group is Fm-3m (No. 225) and the conventional cell measures 7.5699, 7.5699 and 7.5699 Å, with angles of 90.00, 90.00 and 90.00 degrees. Symmetry generates all atoms from K at (0.0000, 0.0000, 0.0000), Tl at (0.2500, 0.2500, 0.2500) and V at (0.0000, 0.0000, 0.5000).

---

No. 4
DFT (PBE) results for K3TlV after structural relaxation.

The excess energy over the best structure of this formula in the dataset comes out at 0.0000 eV per atom. Its total energy is -2.052 eV per atom.

The space group is Pm-3m (No. 221) and the conventional cell measures 6.4920, 6.4920 and 6.4920 Å, with angles of 90.00, 90.00 and 90.00 degrees. Symmetry generates all atoms from K at (0.0000, 0.0000, 0.5000), Tl at (0.5000, 0.5000, 0.5000) and V at (0.0000, 0.0000, 0.0000).

---

No. 5
DFT (PBE) results for KTlV3 after structural relaxation.

The excess energy over the best structure of this formula in the dataset comes out at 0.0000 eV per atom. Its total energy is -4.599 eV per atom.

The space group is Pm-3m (No. 221) and the conventional cell measures 5.3610, 5.3610 and 5.3610 Å, with angles of 90.00, 90.00 and 90.00 degrees. Symmetry generates all atoms from K at (0.0000, 0.0000, 0.0000), Tl at (0.5000, 0.5000, 0.5000) and V at (0.0000, 0.5000, 0.5000).

---

No. 6
DFT (PBE) results for K2TlV after structural relaxation.

The excess energy over the best structure of this formula in the dataset comes out at 0.0330 eV per atom. Its total energy is -2.584 eV per atom.

The space group is Fm-3m (No. 225) and the conventional cell measures 8.4150, 8.4150 and 8.4150 Å, with angles of 90.00, 90.00 and 90.00 degrees. Symmetry generates all atoms from K at (0.2500, 0.2500, 0.2500), Tl at (0.0000, 0.0000, 0.0000) and V at (0.0000, 0.0000, 0.5000).

---

No. 7
DFT (PBE) results for KTlV3 after structural relaxation.

The excess energy over the best structure of this formula in the dataset comes out at 0.7989 eV per atom. Its total energy is -3.800 eV per atom.

The space group is Pm-3m (No. 221) and the conventional cell measures 4.4008, 4.4008 and 4.4008 Å, with angles of 90.00, 90.00 and 90.00 degrees. Symmetry generates all atoms from K at (0.0000, 0.0000, 0.0000), Tl at (0.5000, 0.5000, 0.5000) and V at (0.0000, 0.0000, 0.5000).

---

No. 8
DFT (PBE) results for K2TlV after structural relaxation.

The excess energy over the best structure of this formula in the dataset comes out at 0.0000 eV per atom. Its total energy is -2.617 eV per atom.

The space group is I-42d (No. 122) and the conventional cell measures 9.6724, 9.6724 and 6.1537 Å, with angles of 90.00, 90.00 and 90.00 degrees. Symmetry generates all atoms from K at (0.2438, 0.7500, 0.1250), Tl at (0.0000, 0.0000, 0.5000) and V at (0.0000, 0.0000, 0.0000).

---

No. 9
DFT (PBE) results for KTlW3 after structural relaxation.

The excess energy over the best structure of this formula in the dataset comes out at 0.0000 eV per atom. Its total energy is -5.230 eV per atom.

The space group is Pm-3m (No. 221) and the conventional cell measures 5.1433, 5.1433 and 5.1433 Å, with angles of 90.00, 90.00 and 90.00 degrees. Symmetry generates all atoms from K at (0.0000, 0.0000, 0.0000), Tl at (0.5000, 0.5000, 0.5000) and W at (0.0000, 0.5000, 0.5000).

---

No. 10
DFT (PBE) results for KTlW after structural relaxation.

The excess energy over the best structure of this formula in the dataset comes out at 0.1143 eV per atom. Its total energy is -4.283 eV per atom.

The space group is Imm2 (No. 44) and the conventional cell measures 2.9602, 4.8096 and 12.5709 Å, with angles of 90.00, 90.00 and 90.00 degrees. Symmetry generates all atoms from K at (0.0000, 0.0000, 0.0000), Tl at (0.0000, 0.0000, 0.7298) and W at (0.0000, 0.0000, 0.2715).

---

No. 11
DFT (PBE) results for KTlW2 after structural relaxation.

The excess energy over the best structure of this formula in the dataset comes out at 0.7607 eV per atom. Its total energy is -5.836 eV per atom.

The space group is P4/mmm (No. 123) and the conventional cell measures 3.7342, 3.7342 and 7.6326 Å, with angles of 90.00, 90.00 and 90.00 degrees. Symmetry generates all atoms from K at (0.0000, 0.0000, 0.0000), Tl at (0.0000, 0.0000, 0.5000) and W at (0.5000, 0.5000, 0.3500).

---

No. 12
DFT (PBE) results for KTl3W after structural relaxation.

The excess energy over the best structure of this formula in the dataset comes out at 1.4686 eV per atom. Its total energy is -2.326 eV per atom.

The space group is Pm-3m (No. 221) and the conventional cell measures 5.9163, 5.9163 and 5.9163 Å, with angles of 90.00, 90.00 and 90.00 degrees. Symmetry generates all atoms from K at (0.0000, 0.0000, 0.0000), Tl at (0.0000, 0.0000, 0.5000) and W at (0.5000, 0.5000, 0.5000).

---

Per-record ρ, g/cm3: 6.00 9.16 7.64 2.26 4.27 3.72 7.72 3.85 9.70 7.93 9.54 6.70
Per-record D(E_F), states/eV/atom: 0.63 0.65 1.37 1.59 2.30 1.52 0.83 1.09 2.04 0.68 0.54 0.82